First-principles (PBE) data for crystalline Li2Np3TlS8 at its relaxed geometry, as listed in Alexandria.

Summary:
mass density	5.4	g/cm3
uncorrected formation energy	-1115	meV per atom

Unit cell a=8.1476 b=8.1476 c=18.9313 alpha=90.00 beta=90.00 gamma=120.00
Space group R3m (No. 160, hexagonal axes)
Asymmetric unit:
Li 0.0000 0.0000 0.0000
Li 0.0000 0.0000 0.3778
Np 0.1675 0.3349 0.8257
Tl 0.0000 0.0000 0.6017
S 0.0000 0.0000 0.2348
S 0.0000 0.0000 0.7554
S 0.0207 0.5103 0.7530
S 0.1949 0.3898 0.5694